DFT (PBE) results for a geometry-optimized SbOs2W structure.

The uncorrected formation energy comes out at 1.08 eV/atom. The volume is 389.5 Å³ per cell. The mass density comes out at 11.70 g/cm³. The density of states at the Fermi level is 2.2 states/eV/f.u.

It has space group I-42d (No. 122), with a = 5.8024 Å, b = 5.8024 Å, c = 11.5696 Å, α = 90.00°, β = 90.00° and γ = 90.00°. The asymmetric unit holds Sb at (0.0000, 0.0000, 0.0000), Os at (0.2301, 0.2500, 0.6250) and W at (0.0000, 0.0000, 0.5000).